{"formula": "Ba2Be2Ni", "functional": "PBE-GGA", "state": "relaxed", "magnetic_moment_mub_per_fu": 0.0, "ef_ev_per_atom": 0.600, "cell": [[-1.7361, 1.7361, 9.9927], [1.7361, -1.7361, 9.9927], [1.7361, 1.7361, -9.9927]], "species": ["Ba", "Ba", "Be", "Be", "Ni"], "fractional_positions": [[0.0973, 0.0973, 0.0000], [0.9027, 0.9027, 0.0000], [0.2500, 0.7500, 0.5000], [0.7500, 0.2500, 0.5000], [0.5000, 0.5000, 0.0000]]}